# 1
! TmTc3P3 (PBE, relaxed); values from VASP
! Space group   Pm-3n (223)
! Formation energy from the elements   -0.1858 eV per atom
! DOS at the Fermi energy   5.64 states/eV per cell
! Total DFT energy (no corrections)   -7.586 eV/atom
&SYSTEM
  ibrav = 0, nat = 14, ntyp = 3
/
ATOMIC_SPECIES
P 30.97 P.upf
Tm 168.93 Tm.upf
Tc 98.00 Tc.upf
ATOMIC_POSITIONS crystal
P 0.000 0.250 0.500
P 0.000 0.750 0.500
P 0.500 0.000 0.750
P 0.750 0.500 0.000
P 0.500 0.000 0.250
P 0.250 0.500 0.000
Tm 0.500 0.500 0.500
Tm 0.000 0.000 0.000
Tc 0.250 0.000 0.500
Tc 0.000 0.500 0.250
Tc 0.500 0.750 0.000
Tc 0.750 0.000 0.500
Tc 0.000 0.500 0.750
Tc 0.500 0.250 0.000
CELL_PARAMETERS angstrom
6.430 0.000 0.000
0.000 6.430 0.000
0.000 0.000 6.430

***

# 2
! SmCd2Ga (PBE, relaxed); values from VASP
! Space group   R-3m (166)
! Formation energy from the elements   0.1733 eV per atom
! DOS at the Fermi energy   3.53 states/eV per cell
! Total DFT energy (no corrections)   -2.221 eV/atom
&SYSTEM
  ibrav = 0, nat = 4, ntyp = 3
/
ATOMIC_SPECIES
Ga 69.72 Ga.upf
Sm 150.36 Sm.upf
Cd 112.41 Cd.upf
ATOMIC_POSITIONS crystal
Ga 0.500 0.500 0.500
Sm 0.000 0.000 0.000
Cd 0.096 0.096 0.713
Cd 0.904 0.904 0.287
CELL_PARAMETERS angstrom
-0.444 2.193 -2.377
-1.053 -0.965 -2.935
-10.997 1.852 1.523

***

- The highest DOS at the Fermi energy belongs to which entry?
  TmTc3P3

***

- Number 1 is which compound?
  TmTc3P3